(1)
This record from the Alexandria database describes a geometry-optimized BaZrPt2 structure. The functional is GGA-PBE.

Cell lengths 6.6595, 6.6595, 6.6595 Å; angles 108.76, 108.76, 110.91 degrees
Fractional coordinates of all 8 atoms:
1 Ba 0.0000 0.0000 0.0000
2 Ba 0.7500 0.2500 0.5000
3 Zr 0.2500 0.7500 0.5000
4 Zr 0.5000 0.5000 0.0000
5 Pt 0.1898 0.6250 0.0648
6 Pt 0.3750 0.4398 0.5648
7 Pt 0.5602 0.1250 0.9352
8 Pt 0.8750 0.8102 0.4352

Computed properties:
The energy relative to the lowest polymorph listed for this composition comes out at 419 meV per atom.

(2)
This record from the Alexandria database describes a geometry-optimized BaZr3Pt structure. The functional is GGA-PBE.

Cell lengths 5.1849, 5.1849, 5.1849 Å; angles 90.00, 90.00, 90.00 degrees
Fractional coordinates of all 5 atoms:
1 Ba 0.0000 0.0000 0.0000
2 Zr 0.0000 0.0000 0.5000
3 Zr 0.0000 0.5000 0.0000
4 Zr 0.5000 0.0000 0.0000
5 Pt 0.5000 0.5000 0.5000

Computed properties:
The energy relative to the lowest polymorph listed for this composition comes out at 1733 meV per atom.

(3)
This record from the Alexandria database describes a geometry-optimized BaZrPt4 structure. The functional is GGA-PBE.

Cell lengths 5.5109, 5.5109, 5.5109 Å; angles 60.00, 60.00, 60.00 degrees
Fractional coordinates of all 6 atoms:
1 Ba 0.0000 0.0000 0.0000
2 Zr 0.2500 0.2500 0.2500
3 Pt 0.1260 0.6247 0.6247
4 Pt 0.6247 0.1260 0.6247
5 Pt 0.6247 0.6247 0.1260
6 Pt 0.6247 0.6247 0.6247

Computed properties:
The value obtained for the total DFT energy (no corrections) is -6.315 eV/atom.

(4)
This record from the Alexandria database describes a geometry-optimized Ba2ZrPt structure. The functional is GGA-PBE.

Cell lengths 6.5258, 6.5258, 6.5258 Å; angles 138.09, 138.09, 60.76 degrees
Fractional coordinates of all 4 atoms:
1 Ba 0.0000 0.0000 0.0000
2 Ba 0.7500 0.2500 0.5000
3 Zr 0.5000 0.5000 0.0000
4 Pt 0.2500 0.7500 0.5000

Computed properties:
The energy relative to the lowest polymorph listed for this composition comes out at 622 meV per atom.